[1]
First-principles (PBE) data for a relaxed GaPtN2 crystal, as listed in Alexandria.

```
12
Lattice="3.194 0.000 0.000 -1.597 2.766 0.000 0.000 0.000 17.571" Properties=species:S:1:pos:R:3 pbc="T T T"
Ga 0.000 0.000 0.000
Ga 0.000 1.844 11.714
Ga 1.597 0.922 5.857
Pt 0.000 0.000 8.785
Pt 0.000 1.844 2.928
Pt 1.597 0.922 14.642
N 0.000 0.000 1.930
N 0.000 0.000 15.641
N 0.000 1.844 9.784
N 0.000 1.844 13.644
N 1.597 0.922 3.927
N 1.597 0.922 7.787
```

Total magnetization ... 0.0 μB/cell

---

[2]
First-principles (PBE) data for a relaxed GaPt3N crystal, as listed in Alexandria.

```
5
Lattice="4.675 0.000 0.000 0.000 4.675 0.000 0.000 0.000 4.675" Properties=species:S:1:pos:R:3 pbc="T T T"
Ga 0.000 0.000 0.000
Pt 0.000 0.000 2.338
Pt 0.000 2.338 0.000
Pt 2.338 0.000 0.000
N 2.338 2.338 2.338
```

Total magnetization ... 2.4 μB/cell
Offset from the most stable computed form ... 1.300 eV/atom

---

Sequential E_form (uncorrected) output: 2.41, 8.84 eV/f.u.